(1)
VASP calculation (PBE-GGA) on Mg3H2Ir5 after structural relaxation.

Lattice parameters (Å, degrees): 9.666 5.868 4.769 90.00 107.19 90.00
Space group Cm (No. 8)
Inequivalent atoms, fractional coordinates:
Mg (0.000, 0.000, 0.000) [2 per cell]
Mg (0.000, 0.500, 0.006) [2 per cell]
Mg (0.250, 0.000, 0.496) [2 per cell]
H (0.196, 0.000, 0.882) [2 per cell]
H (0.442, 0.500, 0.556) [2 per cell]
Ir (0.003, 0.273, 0.499) [4 per cell]
Ir (0.245, 0.500, 0.503) [2 per cell]
Ir (0.254, 0.273, 0.011) [4 per cell]

Output
E_tot, eV/cell: -114.958
Excess energy over the best structure of this formula in the dataset, eV/atom: 0.008
DOS(E_F), states/eV/cell: 12.7

---

(2)
VASP calculation (PBE-GGA) on Mg3H4Ir2 after structural relaxation.

Lattice parameters (Å, degrees): 7.963 4.501 5.520 90.00 91.06 90.00
Space group C2/m (No. 12)
Inequivalent atoms, fractional coordinates:
Mg (0.000, 0.000, 0.000) [2 per cell]
Mg (0.166, 0.500, 0.337) [4 per cell]
H (0.089, 0.242, 0.665) [8 per cell]
Ir (0.173, 0.500, 0.845) [4 per cell]

Output
E_tot, eV/cell: -78.566
Excess energy over the best structure of this formula in the dataset, eV/atom: 0.000
DOS(E_F), states/eV/cell: 3.9

---

(3)
VASP calculation (PBE-GGA) on Mg2H3Ir4 after structural relaxation.

Lattice parameters (Å, degrees): 2.891 4.919 7.502 71.34 89.97 89.94
Space group P1 (No. 1)
Inequivalent atoms, fractional coordinates:
Mg (0.000, 0.000, 0.000) [1 per cell]
Mg (0.001, 0.336, 0.348) [1 per cell]
H (0.001, 0.157, 0.625) [1 per cell]
H (0.497, 0.672, 0.181) [1 per cell]
H (0.501, 0.159, 0.182) [1 per cell]
Ir (0.000, 0.776, 0.687) [1 per cell]
Ir (0.500, 0.501, 0.003) [1 per cell]
Ir (0.500, 0.826, 0.366) [1 per cell]
Ir (0.502, 0.329, 0.686) [1 per cell]

Output
E_tot, eV/cell: -49.774
Excess energy over the best structure of this formula in the dataset, eV/atom: 0.015
DOS(E_F), states/eV/cell: 4.4

---

| no. | magnetic moment (μB/f.u.) |
| --- | --- |
| 1 | 0.0 |
| 2 | 0.0 |
| 3 | 0.0 |